# SrIn2Ge2

A geometry-optimized SrIn2Ge2 structure (PBE-GGA, the Alexandria database).

Calculated values
The calculation puts the formation energy at -21.41 kJ/mol of atoms. Its symmetry is No. 63.

a b c (Å): 4.6689 6.0089 11.1158
angles (deg): 90.00 90.00 112.86
Closest atoms and distances in Å follow each position.
Atoms (fractional coordinates):
In  0.3803  0.7606  0.9557  3 Ge 2.72-2.80, 1 In 2.83
In  0.6197  0.2394  0.0443  3 Ge 2.72-2.80, 1 In 2.83
In  0.3803  0.7606  0.5443  3 Ge 2.72-2.80, 1 In 2.83
In  0.6197  0.2394  0.4557  3 Ge 2.72-2.80, 1 In 2.83
Ge  0.7949  0.5899  0.6378  1 Ge 2.49, 2 In 2.72
Ge  0.7949  0.5899  0.8622  1 Ge 2.49, 2 In 2.72
Ge  0.2051  0.4101  0.3622  1 Ge 2.49, 2 In 2.72
Ge  0.2051  0.4101  0.1378  1 Ge 2.49, 2 In 2.72
Sr  0.9120  0.8240  0.2500  6 Ge 3.48-3.50
Sr  0.0880  0.1760  0.7500  6 Ge 3.48-3.50